A plane-wave DFT calculation with PBE was carried out for a geometry-optimized Nd2AgBr structure.

abc: 3.5635 3.5635 8.4537
angles: 90.00 90.00 90.00
Element x y z (fractional)
Nd: 0.0000 0.0000 0.7655
Nd: 0.0000 0.0000 0.2345
Br: 0.5000 0.5000 0.5000
Ag: 0.5000 0.5000 0.0000

Properties
* energy relative to the lowest polymorph listed for this composition: 34 meV per atom


A plane-wave DFT calculation with PBE was carried out for a geometry-optimized Nd2AgBr structure.

abc: 4.3851 4.3851 7.4197
angles: 72.81 72.81 60.00
Element x y z (fractional)
Nd: 0.2517 0.2517 0.2448
Nd: 0.7483 0.7483 0.7552
Br: 0.5000 0.5000 0.5000
Ag: 0.0000 0.0000 0.0000

Properties
* energy relative to the lowest polymorph listed for this composition: 0 meV per atom